DFT (GGA-PBE) results for a relaxed structure of NaSrCo2Bi.

spin magnetization	3.4	μB per cell
final energy	-17.00	eV/f.u.
symmetry	P4/mmm (123)

a = 5.048 Å, b = 6.237 Å, c = 5.048 Å
α = 90.00°, β = 90.00°, γ = 90.00°
Each line ends with the local moment (μB).
Fractional coordinates of all 5 atoms:
Sr  0.000  0.500  0.000  0.02
Co  0.000  0.000  0.500  1.44
Co  0.500  0.000  0.000  1.98
Bi  0.000  0.000  0.000  0.03
Na  0.500  0.500  0.500  0.00